A relaxed Sr2TcCF crystal, computed with GGA-PBE.

The structure in POSCAR format:
```
Sr2TcCF
1.0
5.696 0.000 0.000
0.000 5.696 0.000
0.000 0.000 4.097
Sr Tc C F
2 1 1 1
Cartesian
0.000 2.848 0.000
2.848 0.000 0.000
0.000 0.000 0.000
2.848 2.848 2.049
0.000 0.000 2.049
```

Properties
* crystal system: tetragonal
* magnetic moment: 4.00 μB/cell
* ρ: 3.80 g/cm³
* formation energy from raw total energies: 0.861 eV per atom